Entry 1:
Entry from Alexandria: a relaxed structure of BaHgRh2 (GGA-PBE).

a = 11.141 Å, b = 3.222 Å, c = 5.223 Å
α = 90.00°, β = 111.43°, γ = 90.00°
Fractional coordinates of all 8 atoms:
Ba1 0.000 0.000 0.000
Ba2 0.500 0.500 0.000
Hg1 0.210 0.000 0.639
Hg2 0.710 0.500 0.639
Rh1 0.271 0.500 0.177
Rh2 0.459 0.000 0.481
Rh3 0.771 0.000 0.177
Rh4 0.959 0.500 0.481

Computed properties:
Energy of formation from the pure elements   0.6 eV per formula unit
Mass density   10.35 g/cm3

Entry 2:
Entry from Alexandria: a relaxed structure of ScSn2Pd2 (GGA-PBE).

a = 7.927 Å, b = 7.927 Å, c = 3.178 Å
α = 90.00°, β = 90.00°, γ = 90.00°
Fractional coordinates of all 10 atoms:
Sc1 0.000 0.000 0.000
Sc2 0.500 0.500 0.000
Sn1 0.148 0.352 0.000
Sn2 0.352 0.852 0.000
Sn3 0.648 0.148 0.000
Sn4 0.852 0.648 0.000
Pd1 0.148 0.648 0.500
Pd2 0.352 0.148 0.500
Pd3 0.648 0.852 0.500
Pd4 0.852 0.352 0.500

Computed properties:
Energy of formation from the pure elements   -2.3 eV per formula unit
Mass density   8.24 g/cm3

> What is the mass density in the second record?

8.24 g/cm3

> energy of formation from the pure elements of number 1 (BaHgRh2)?

0.6 eV per formula unit

> Which value of mass density does entry 2 give?

8.24 g/cm3

Please write out number 2 again, unchanged.
Entry from Alexandria: a relaxed structure of ScSn2Pd2 (GGA-PBE).

a = 7.927 Å, b = 7.927 Å, c = 3.178 Å
α = 90.00°, β = 90.00°, γ = 90.00°
Fractional coordinates of all 10 atoms:
Sc1 0.000 0.000 0.000
Sc2 0.500 0.500 0.000
Sn1 0.148 0.352 0.000
Sn2 0.352 0.852 0.000
Sn3 0.648 0.148 0.000
Sn4 0.852 0.648 0.000
Pd1 0.148 0.648 0.500
Pd2 0.352 0.148 0.500
Pd3 0.648 0.852 0.500
Pd4 0.852 0.352 0.500

Computed properties:
Energy of formation from the pure elements   -2.3 eV per formula unit
Mass density   8.24 g/cm3